[1]
First-principles (PBE) data for a relaxed AsPCl2 crystal, as listed in Alexandria.

Unit cell a=7.4201 b=7.4201 c=7.4201 alpha=153.15 beta=146.07 gamma=43.79
Atoms (fractional coordinates):
As 0.0000 0.0000 0.0000
P 0.8766 0.3766 0.5000
Cl 0.3399 0.8399 0.5000
Cl 0.5674 0.5674 0.0000

Calculated values
Its calculated density is 2.86 g/cm3. For the energy relative to the elements, uncorrected, the calculation gives 123.9 meV per atom. The density of states at the Fermi level comes out at 1.47 states/eV/cell. The calculation puts the excess energy over the best structure of this formula in the dataset at 495 meV/atom.

---

[2]
First-principles (PBE) data for a relaxed As2PCl crystal, as listed in Alexandria.

Unit cell a=7.2808 b=7.2808 c=7.2808 alpha=151.69 beta=149.87 gamma=41.81
Atoms (fractional coordinates):
As 0.0000 0.0000 0.0000
As 0.6481 0.1481 0.5000
P 0.1343 0.6343 0.5000
Cl 0.3963 0.3963 0.0000

Calculated values
Its calculated density is 3.92 g/cm3. For the energy relative to the elements, uncorrected, the calculation gives 93.2 meV per atom. The density of states at the Fermi level comes out at 0.66 states/eV/cell. The calculation puts the excess energy over the best structure of this formula in the dataset at 46 meV/atom.

---

[3]
First-principles (PBE) data for a relaxed As2PCl crystal, as listed in Alexandria.

Unit cell a=4.6702 b=4.6702 c=4.6702 alpha=60.00 beta=60.00 gamma=60.00
Atoms (fractional coordinates):
As 0.2500 0.2500 0.2500
As 0.7500 0.7500 0.7500
P 0.0000 0.0000 0.0000
Cl 0.5000 0.5000 0.5000

Calculated values
Its calculated density is 4.99 g/cm3. For the energy relative to the elements, uncorrected, the calculation gives 500.1 meV per atom. The density of states at the Fermi level comes out at 2.43 states/eV/cell. The calculation puts the excess energy over the best structure of this formula in the dataset at 453 meV/atom.

---

[4]
First-principles (PBE) data for a relaxed As2PCl crystal, as listed in Alexandria.

Unit cell a=7.7504 b=7.7504 c=7.7504 alpha=26.05 beta=26.05 gamma=26.05
Atoms (fractional coordinates):
As 0.2363 0.2363 0.2363
As 0.7637 0.7637 0.7637
P 0.5000 0.5000 0.5000
Cl 0.0000 0.0000 0.0000

Calculated values
Its calculated density is 4.54 g/cm3. For the energy relative to the elements, uncorrected, the calculation gives 166.8 meV per atom. The density of states at the Fermi level comes out at 2.14 states/eV/cell. The calculation puts the excess energy over the best structure of this formula in the dataset at 120 meV/atom.